TbLuTl2 after structural relaxation, computed with GGA-PBE.

Computed properties:
Its crystal system is trigonal. As for the total DFT energy (no corrections): -14.846 eV for the cell shown. The density of states at the Fermi level comes out at 2.182 states/eV/f.u. The symmetry is No. 166.

Geometry as POSCAR:
```
TbLuTl2
1.0
1.8548 1.0709 9.6172
-1.8548 1.0709 9.6172
0.0000 -2.1418 9.6172
Tb Lu Tl
1 1 2
Direct
0.0000 0.0000 0.0000
0.5000 0.5000 0.5000
0.2486 0.2486 0.2486
0.7514 0.7514 0.7514
```

TbLuTl2 after structural relaxation, computed with GGA-PBE.

Computed properties:
Its crystal system is tetragonal. As for the total DFT energy (no corrections): -15.126 eV for the cell shown. The density of states at the Fermi level comes out at 2.890 states/eV/f.u. The symmetry is No. 123.

Geometry as POSCAR:
```
TbLuTl2
1.0
3.5866 0.0000 0.0000
0.0000 3.5866 0.0000
0.0000 0.0000 8.3458
Tb Lu Tl
1 1 2
Direct
0.0000 0.0000 0.0000
0.0000 0.0000 0.5000
0.5000 0.5000 0.2551
0.5000 0.5000 0.7449
```

TbLu2Tl after structural relaxation, computed with GGA-PBE.

Computed properties:
Its crystal system is tetragonal. The density of states at the Fermi level comes out at 5.047 states/eV/f.u. The symmetry is No. 123. Its energy above the most stable polymorph in this dataset is 5 meV/atom.

Geometry as POSCAR:
```
TbLu2Tl
1.0
4.8087 0.0000 0.0000
0.0000 4.8087 0.0000
0.0000 0.0000 4.7747
Tb Lu Tl
1 2 1
Direct
0.0000 0.0000 0.0000
0.0000 0.5000 0.5000
0.5000 0.0000 0.5000
0.5000 0.5000 0.0000
```

TbLu2Tl after structural relaxation, computed with GGA-PBE.

Computed properties:
Its crystal system is tetragonal. The density of states at the Fermi level comes out at 3.693 states/eV/f.u. The symmetry is No. 123. Its energy above the most stable polymorph in this dataset is 0 meV/atom.

Geometry as POSCAR:
```
TbLu2Tl
1.0
3.5812 0.0000 0.0000
0.0000 3.5812 0.0000
0.0000 0.0000 8.9297
Tb Lu Tl
1 2 1
Direct
0.0000 0.0000 0.0000
0.5000 0.5000 0.2708
0.5000 0.5000 0.7292
0.0000 0.0000 0.5000
```

TbLu2Tl after structural relaxation, computed with GGA-PBE.

Computed properties:
Its crystal system is cubic. The density of states at the Fermi level comes out at 5.729 states/eV/f.u. The symmetry is No. 225. Its energy above the most stable polymorph in this dataset is 194 meV/atom.

Geometry as POSCAR:
```
TbLu2Tl
1.0
0.0000 3.8178 3.8178
3.8178 0.0000 3.8178
3.8178 3.8178 0.0000
Tb Lu Tl
1 2 1
Direct
0.0000 0.0000 0.0000
0.2500 0.2500 0.2500
0.7500 0.7500 0.7500
0.5000 0.5000 0.5000
```

TbTmLuTl after structural relaxation, computed with GGA-PBE.

Computed properties:
Its crystal system is cubic. As for the total DFT energy (no corrections): -16.094 eV for the cell shown. The density of states at the Fermi level comes out at 6.168 states/eV/f.u. The symmetry is No. 216.

Geometry as POSCAR:
```
TbTmLuTl
1.0
0.0000 3.8306 3.8306
3.8306 0.0000 3.8306
3.8306 3.8306 0.0000
Tb Tm Lu Tl
1 1 1 1
Direct
0.0000 0.0000 0.0000
0.5000 0.5000 0.5000
0.7500 0.7500 0.7500
0.2500 0.2500 0.2500
```